No. 1
The following is a DFT calculation (GGA-PBE) of an optimized crystal structure of Tm3Hg3Pb.

abc: 9.1408 9.1408 4.9748
angles: 90.00 90.00 120.00
With the nearest neighbours (Å) after each atom.
Space group P6_3/m (No. 176)
One atom of each set of equivalent atoms:
Tm 0.0996 0.6561 0.2500  4 Hg 3.02-3.36, 2 Pb 3.25
Hg 0.0335 0.8008 0.7500  4 Tm 3.02-3.36, 4 Hg 3.19
Pb 0.3333 0.6667 0.7500  9 Tm 3.25-3.56, 3 Hg 3.52

DOS(E_F), states/eV/f.u.: 3.27
Spin magnetization, Bohr magnetons per cell: 0.0
Mass density, kg/m³: 12139
Calculated volume, Å³/cell: 360
ΔE_f, eV per atom: -0.349
E, eV/atom: -2.92

No. 2
The following is a DFT calculation (GGA-PBE) of an optimized crystal structure of LiAg.

abc: 4.5234 4.5234 5.2294
angles: 90.00 90.00 120.00
With the nearest neighbours (Å) after each atom.
Space group P6_3/mmc (No. 194)
One atom of each set of equivalent atoms:
Li 0.3333 0.6667 0.2500  5 Ag 2.61
Ag 0.3333 0.6667 0.7500  5 Li 2.61

DOS(E_F), states/eV/f.u.: 0.46
Spin magnetization, Bohr magnetons per cell: 0.0
Mass density, kg/m³: 4115
Calculated volume, Å³/cell: 93
ΔE_f, eV per atom: 0.202
E, eV/atom: -2.18

No. 3
The following is a DFT calculation (GGA-PBE) of an optimized crystal structure of PrYHg6.

abc: 4.7215 4.7215 9.1505
angles: 90.00 90.00 90.00
With the nearest neighbours (Å) after each atom.
Space group P4/mmm (No. 123)
One atom of each set of equivalent atoms:
Pr 0.0000 0.0000 0.0000  12 Hg 3.33-3.34
Y 0.0000 0.0000 0.5000  12 Hg 3.25-3.34
Hg 0.0000 0.5000 0.2563  8 Hg 3.25-3.34, 2 Y 3.25, 2 Pr 3.33
Hg 0.5000 0.5000 0.0000  8 Hg 3.33, 4 Pr 3.34
Hg 0.5000 0.5000 0.5000  8 Hg 3.25, 4 Y 3.34

DOS(E_F), states/eV/f.u.: 6.70
Spin magnetization, Bohr magnetons per cell: 0.0
Mass density, kg/m³: 11668
Calculated volume, Å³/cell: 204
ΔE_f, eV per atom: -0.340
Polymorph energy (0 for the lowest one), meV per atom: 33
E, eV/atom: -1.97

No. 4
The following is a DFT calculation (GGA-PBE) of an optimized crystal structure of MnFeAg2.

abc: 2.8230 2.8230 7.8831
angles: 90.00 90.00 90.00
With the nearest neighbours (Å) after each atom.
Space group P4/mmm (No. 123)
One atom of each set of equivalent atoms:
Mn 0.0000 0.0000 0.0000  4 Mn 2.82, 8 Ag 2.83
Fe 0.0000 0.0000 0.5000  8 Ag 2.78, 4 Fe 2.82
Ag 0.5000 0.5000 0.2543  4 Fe 2.78, 4 Ag 2.82, 4 Mn 2.83

DOS(E_F), states/eV/f.u.: 2.89
Spin magnetization, Bohr magnetons per cell: 6.6
Mass density, kg/m³: 8630
Calculated volume, Å³/cell: 63
ΔE_f, eV per atom: 0.394
Polymorph energy (0 for the lowest one), meV per atom: 138
E, eV/atom: -5.44

No. 5
The following is a DFT calculation (GGA-PBE) of an optimized crystal structure of Er3Cd2Ag6.

abc: 3.9180 3.9180 32.7744
angles: 90.00 90.00 90.00
With the nearest neighbours (Å) after each atom.
Space group I4/mmm (No. 139)
One atom of each set of equivalent atoms:
Er 0.0000 0.0000 0.0000  8 Ag 3.06
Er 0.0000 0.0000 0.1822  5 Ag 2.97-3.14, 4 Cd 3.15
Cd 0.0000 0.0000 0.3634  5 Ag 2.89-2.97, 4 Er 3.15
Ag 0.0000 0.0000 0.2728  5 Er 2.97-3.14, 1 Cd 2.97, 4 Ag 3.15
Ag 0.0000 0.5000 0.0716  4 Ag 2.77, 2 Cd 2.89, 2 Er 3.06

DOS(E_F), states/eV/f.u.: 7.04
Spin magnetization, Bohr magnetons per cell: 0.0
Mass density, kg/m³: 9069
Calculated volume, Å³/cell: 503
ΔE_f, eV per atom: -0.087
E, eV/atom: -3.05